Density functional theory data (PBE with a Hubbard U) for an optimized crystal structure of Rb2NiSbF6.

Structure (extended XYZ):
```
10
Lattice="-3.0422 3.0422 4.9224 3.0422 -3.0422 4.9224 3.0422 3.0422 -4.9224" Properties=species:S:1:pos:R:3 pbc="T T T"
Rb 3.0422 0.0000 2.4612
Rb 0.0000 3.0422 2.4612
Ni 0.0000 0.0000 0.0000
Sb 0.0000 0.0000 4.9224
F 1.4803 1.4803 0.0000
F 1.5619 -1.5619 4.9224
F 0.0000 0.0000 2.7316
F 0.0000 0.0000 7.1131
F -1.5619 1.5619 4.9224
F 1.5619 1.5619 4.9224
```

Calculated values
volume	18.22	Å³ per atom
energy	-4.24	eV/atom